Below is an optimized crystal structure of Ba2YBr, with properties calculated at the PBE level.

Cell lengths 8.9322, 8.9322, 8.9322 Å; angles 90.00, 90.00, 90.00 degrees
Closest atoms and distances in Å follow each position.
Space group Fm-3m (No. 225)
One atom of each set of equivalent atoms:
Ba: 0.2500 0.2500 0.2500 x8  4 Br 3.87, 4 Y 3.87
Y: 0.0000 0.0000 0.0000 x4  8 Ba 3.87
Br: 0.0000 0.0000 0.5000 x4  8 Ba 3.87

Calculated values
Magnetic moment: 0.0000 μB per atom
VASP energy: -48.92 eV/cell
E above lowest polymorph: 0.5309 eV/atom
E_form (uncorrected): -0.25 eV/f.u.